VASP calculation (PBE-GGA) on a relaxed CeZn2Cd crystal.

CIF file:
```
data_CeZn2Cd
_chemical_formula_sum 'Ce1 Zn2 Cd1'
_symmetry_space_group_name_H-M 'P 4/m m m'
_symmetry_Int_Tables_number 123
_symmetry_space_group_name_Hall '-P 4 2'
_cell_length_a 4.7655
_cell_length_b 4.7655
_cell_length_c 3.9229
_cell_angle_alpha 90.00
_cell_angle_beta 90.00
_cell_angle_gamma 90.00
loop_
_atom_site_label
_atom_site_type_symbol
_atom_site_fract_x
_atom_site_fract_y
_atom_site_fract_z
Ce1 Ce 0.0000 0.0000 0.0000
Zn1 Zn 0.0000 0.5000 0.5000
Cd1 Cd 0.5000 0.5000 0.0000
```

Computed properties:
The value obtained for the energy relative to the lowest polymorph listed for this composition is 190.1 meV per atom. The calculated volume is 89.1 Å³/f.u. The value obtained for the energy relative to the elements is -77 meV per atom. The value obtained for the total moment is 1.0 μB/cell.

VASP calculation (PBE-GGA) on a relaxed Ce6ZnCd2 crystal.

CIF file:
```
data_Ce6ZnCd2
_chemical_formula_sum 'Ce12 Zn2 Cd4'
_symmetry_space_group_name_H-M 'C 1 2/m 1'
_symmetry_Int_Tables_number 12
_symmetry_space_group_name_Hall '-C 2y'
_cell_length_a 12.1605
_cell_length_b 6.9664
_cell_length_c 5.6416
_cell_angle_alpha 90.00
_cell_angle_beta 94.02
_cell_angle_gamma 90.00
loop_
_atom_site_label
_atom_site_type_symbol
_atom_site_fract_x
_atom_site_fract_y
_atom_site_fract_z
Ce1 Ce 0.1201 0.2458 0.1928
Ce2 Ce 0.2102 0.5000 0.7754
Zn1 Zn 0.0000 0.5000 0.5000
Cd1 Cd 0.1299 0.0000 0.6926
```

Computed properties:
The calculated volume is 238.4 Å³/f.u. The value obtained for the energy relative to the elements is 17 meV per atom. The value obtained for the total moment is 2.3 μB/cell.

VASP calculation (PBE-GGA) on a relaxed Ce3Zn8Cd3 crystal.

CIF file:
```
data_Ce3Zn8Cd3
_chemical_formula_sum 'Ce6 Zn16 Cd6'
_symmetry_space_group_name_H-M 'I m m m'
_symmetry_Int_Tables_number 71
_symmetry_space_group_name_Hall '-I 2 2'
_cell_length_a 4.5677
_cell_length_b 8.9949
_cell_length_c 13.7757
_cell_angle_alpha 90.00
_cell_angle_beta 90.00
_cell_angle_gamma 90.00
loop_
_atom_site_label
_atom_site_type_symbol
_atom_site_fract_x
_atom_site_fract_y
_atom_site_fract_z
Ce1 Ce 0.0000 0.0000 0.0000
Ce2 Ce 0.0000 0.0000 0.2936
Zn1 Zn 0.0000 0.2745 0.1500
Zn2 Zn 0.0000 0.3633 0.3361
Cd1 Cd 0.0000 0.2001 0.5000
Cd2 Cd 0.0000 0.5000 0.0000
```

Computed properties:
The calculated volume is 283.0 Å³/f.u. The value obtained for the energy relative to the elements is -260 meV per atom. The value obtained for the total moment is 4.3 μB/cell.

VASP calculation (PBE-GGA) on a relaxed Ce3Zn4Cd4 crystal.

CIF file:
```
data_Ce3Zn4Cd4
_chemical_formula_sum 'Ce6 Zn8 Cd8'
_symmetry_space_group_name_H-M 'I m m m'
_symmetry_Int_Tables_number 71
_symmetry_space_group_name_Hall '-I 2 2'
_cell_length_a 4.5013
_cell_length_b 7.5404
_cell_length_c 14.7817
_cell_angle_alpha 90.00
_cell_angle_beta 90.00
_cell_angle_gamma 90.00
loop_
_atom_site_label
_atom_site_type_symbol
_atom_site_fract_x
_atom_site_fract_y
_atom_site_fract_z
Ce1 Ce 0.0000 0.0000 0.0000
Ce2 Ce 0.0000 0.5000 0.1188
Zn1 Zn 0.0000 0.0000 0.2247
Zn2 Zn 0.0000 0.1768 0.5000
Cd1 Cd 0.0000 0.3073 0.3302
```

Computed properties:
The value obtained for the energy relative to the lowest polymorph listed for this composition is 0.0 meV per atom. The calculated volume is 250.9 Å³/f.u. The value obtained for the energy relative to the elements is -180 meV per atom. The value obtained for the total moment is 6.6 μB/cell.

VASP calculation (PBE-GGA) on a relaxed Ce3Zn2Cd3 crystal.

CIF file:
```
data_Ce3Zn2Cd3
_chemical_formula_sum 'Ce3 Zn2 Cd3'
_symmetry_space_group_name_H-M 'P -6 2 m'
_symmetry_Int_Tables_number 189
_symmetry_space_group_name_Hall 'P -6 -2'
_cell_length_a 8.2280
_cell_length_b 8.2280
_cell_length_c 3.3915
_cell_angle_alpha 90.00
_cell_angle_beta 90.00
_cell_angle_gamma 120.00
loop_
_atom_site_label
_atom_site_type_symbol
_atom_site_fract_x
_atom_site_fract_y
_atom_site_fract_z
Ce1 Ce 0.0000 0.4106 0.0000
Zn1 Zn 0.3333 0.6667 0.5000
Cd1 Cd 0.0000 0.7724 0.5000
```

Computed properties:
The calculated volume is 198.8 Å³/f.u. The value obtained for the energy relative to the elements is -148 meV per atom. The value obtained for the total moment is 3.8 μB/cell.

VASP calculation (PBE-GGA) on a relaxed CeZn4Cd crystal.

CIF file:
```
data_CeZn4Cd
_chemical_formula_sum 'Ce4 Zn16 Cd4'
_symmetry_space_group_name_H-M 'C m c m'
_symmetry_Int_Tables_number 63
_symmetry_space_group_name_Hall '-C 2c 2'
_cell_length_a 4.4017
_cell_length_b 16.3933
_cell_length_c 6.5125
_cell_angle_alpha 90.00
_cell_angle_beta 90.00
_cell_angle_gamma 90.00
loop_
_atom_site_label
_atom_site_type_symbol
_atom_site_fract_x
_atom_site_fract_y
_atom_site_fract_z
Ce1 Ce 0.0000 0.1199 0.2500
Zn1 Zn 0.0000 0.0639 0.7500
Zn2 Zn 0.0000 0.3430 0.0565
Zn3 Zn 0.0000 0.5000 0.0000
Cd1 Cd 0.0000 0.2299 0.7500
```

Computed properties:
The calculated volume is 117.5 Å³/f.u. The value obtained for the energy relative to the elements is -133 meV per atom. The value obtained for the total moment is 3.0 μB/cell.

VASP calculation (PBE-GGA) on a relaxed Ce4ZnCd crystal.

CIF file:
```
data_Ce4ZnCd
_chemical_formula_sum 'Ce8 Zn2 Cd2'
_symmetry_space_group_name_H-M 'I m m m'
_symmetry_Int_Tables_number 71
_symmetry_space_group_name_Hall '-I 2 2'
_cell_length_a 5.2987
_cell_length_b 5.8516
_cell_length_c 8.9343
_cell_angle_alpha 90.00
_cell_angle_beta 90.00
_cell_angle_gamma 90.00
loop_
_atom_site_label
_atom_site_type_symbol
_atom_site_fract_x
_atom_site_fract_y
_atom_site_fract_z
Ce1 Ce 0.0000 0.2451 0.1577
Zn1 Zn 0.0000 0.5000 0.5000
Cd1 Cd 0.0000 0.0000 0.5000
```

Computed properties:
The value obtained for the energy relative to the lowest polymorph listed for this composition is 4.1 meV per atom. The calculated volume is 138.5 Å³/f.u. The value obtained for the energy relative to the elements is -87 meV per atom. The value obtained for the total moment is 2.6 μB/cell.

VASP calculation (PBE-GGA) on a relaxed CeZn4Cd crystal.

CIF file:
```
data_CeZn4Cd
_chemical_formula_sum 'Ce4 Zn16 Cd4'
_symmetry_space_group_name_H-M 'P b a m'
_symmetry_Int_Tables_number 55
_symmetry_space_group_name_Hall '-P 2 2ab'
_cell_length_a 8.3678
_cell_length_b 16.5208
_cell_length_c 3.4468
_cell_angle_alpha 90.00
_cell_angle_beta 90.00
_cell_angle_gamma 90.00
loop_
_atom_site_label
_atom_site_type_symbol
_atom_site_fract_x
_atom_site_fract_y
_atom_site_fract_z
Ce1 Ce 0.1195 0.1563 0.0000
Zn1 Zn 0.0296 0.6959 0.5000
Zn2 Zn 0.1198 0.9594 0.5000
Zn3 Zn 0.1395 0.5531 0.5000
Zn4 Zn 0.2160 0.8082 0.5000
Cd1 Cd 0.1253 0.4156 0.0000
```

Computed properties:
The calculated volume is 119.1 Å³/f.u. The value obtained for the energy relative to the elements is -110 meV per atom. The value obtained for the total moment is 3.9 μB/cell.

VASP calculation (PBE-GGA) on a relaxed Ce2ZnCd crystal.

CIF file:
```
data_Ce2ZnCd
_chemical_formula_sum 'Ce2 Zn1 Cd1'
_symmetry_space_group_name_H-M 'P 4/m m m'
_symmetry_Int_Tables_number 123
_symmetry_space_group_name_Hall '-P 4 2'
_cell_length_a 4.4012
_cell_length_b 4.4012
_cell_length_c 4.7961
_cell_angle_alpha 90.00
_cell_angle_beta 90.00
_cell_angle_gamma 90.00
loop_
_atom_site_label
_atom_site_type_symbol
_atom_site_fract_x
_atom_site_fract_y
_atom_site_fract_z
Ce1 Ce 0.0000 0.5000 0.0000
Zn1 Zn 0.0000 0.0000 0.5000
Cd1 Cd 0.5000 0.5000 0.5000
```

Computed properties:
The value obtained for the energy relative to the lowest polymorph listed for this composition is 37.6 meV per atom. The calculated volume is 92.9 Å³/f.u. The value obtained for the energy relative to the elements is -160 meV per atom. The value obtained for the total moment is 0.2 μB/cell.

VASP calculation (PBE-GGA) on a relaxed Ce6Zn2Cd crystal.

CIF file:
```
data_Ce6Zn2Cd
_chemical_formula_sum 'Ce6 Zn2 Cd1'
_symmetry_space_group_name_H-M 'P 6/m m m'
_symmetry_Int_Tables_number 191
_symmetry_space_group_name_Hall '-P 6 2'
_cell_length_a 9.0067
_cell_length_b 9.0067
_cell_length_c 2.9101
_cell_angle_alpha 90.00
_cell_angle_beta 90.00
_cell_angle_gamma 120.00
loop_
_atom_site_label
_atom_site_type_symbol
_atom_site_fract_x
_atom_site_fract_y
_atom_site_fract_z
Ce1 Ce 0.0000 0.3469 0.0000
Zn1 Zn 0.3333 0.6667 0.5000
Cd1 Cd 0.0000 0.0000 0.5000
```

Computed properties:
The value obtained for the energy relative to the lowest polymorph listed for this composition is 0.0 meV per atom. The calculated volume is 204.4 Å³/f.u. The value obtained for the energy relative to the elements is -99 meV per atom. The value obtained for the total moment is 1.2 μB/cell.

| no. | DOS(E_F) (states/eV/f.u.) | uncorrected energy (eV per formula unit) |
| --- | --- | --- |
| 1 | 8.2 | -9.704 |
| 2 | 22.1 | -38.554 |
| 3 | 19.1 | -34.379 |
| 4 | 22.7 | -28.541 |
| 5 | 17.7 | -24.279 |
| 6 | 7.2 | -12.743 |
| 7 | 15.5 | -26.444 |
| 8 | 7.1 | -12.604 |
| 9 | 8.1 | -14.698 |
| 10 | 20.7 | -39.955 |